Record 1
# TbAlSi2Ir5, relaxed, DFT GGA-PBE
# E_form (uncorrected) in eV/f.u.: -4.2
data_TbAlSi2Ir5
_cell_length_a 4.0402
_cell_length_b 4.0402
_cell_length_c 10.0518
_cell_angle_alpha 90.00
_cell_angle_beta 90.00
_cell_angle_gamma 90.00
_symmetry_space_group_name_H-M 'P 4/m m m'
_symmetry_Int_Tables_number 123
_symmetry_space_group_name_Hall '-P 4 2'
loop_
_atom_site_label
_atom_site_type_symbol
_atom_site_fract_x
_atom_site_fract_y
_atom_site_fract_z
Tb1 Tb 0.0000 0.0000 0.0000
Al1 Al 0.0000 0.0000 0.5000
Si1 Si 0.5000 0.5000 0.2306
Ir1 Ir 0.0000 0.5000 0.3505
Ir2 Ir 0.5000 0.5000 0.0000

=====

Record 2
# Tm6MgRh, relaxed, DFT GGA-PBE
# Calculated formation energy in eV/atom: 0.00
data_Tm6MgRh
_cell_length_a 7.4019
_cell_length_b 10.8324
_cell_length_c 6.3474
_cell_angle_alpha 90.00
_cell_angle_beta 109.48
_cell_angle_gamma 90.00
_symmetry_space_group_name_H-M 'C 1 2/m 1'
_symmetry_Int_Tables_number 12
_symmetry_space_group_name_Hall '-C 2y'
loop_
_atom_site_label
_atom_site_type_symbol
_atom_site_fract_x
_atom_site_fract_y
_atom_site_fract_z
Tm1 Tm 0.1595 0.1981 0.2518
Tm2 Tm 0.2416 0.5000 0.1847
Mg1 Mg 0.0000 0.5000 0.5000
Rh1 Rh 0.0000 0.0000 0.0000

=====

Number 1: electronic total energy -67.76 eV for the cell shown. Number 2: electronic total energy -71.56 eV for the cell shown.